The following is a PBE calculation of an optimized crystal structure of Cs4AgHg, from the Alexandria database.

Cell lengths 10.740, 10.740, 8.770 Å; angles 108.66, 108.66, 110.86 degrees
Element x y z (fractional)
Cs 0.055 0.703 0.907
Cs 0.236 0.356 0.730
Cs 0.297 0.945 0.593
Cs 0.356 0.236 0.230
Cs 0.644 0.764 0.770
Cs 0.703 0.055 0.407
Cs 0.764 0.644 0.270
Cs 0.945 0.297 0.093
Ag 0.001 0.999 0.750
Ag 0.999 0.001 0.250
Hg 0.364 0.636 0.250
Hg 0.636 0.364 0.750

## Properties
Space-group type: C2/c
DFT formation energy (eV per atom): -0.059
Total magnetic moment (μB per formula unit): 0.000